# 1
# PmCd7Hg12

A geometry-optimized PmCd7Hg12 structure (GGA-PBE, Alexandria via LeMat-Bulk).

## Properties
ΔE to the lowest computed polymorph (eV/atom): 0.000
E_tot (eV per atom): -0.78
ΔH_f (0 K) (kJ/mol of formula units): -70.7
SG: R-3 (148)

Cell lengths 8.506, 8.506, 8.506 Å; angles 106.00, 106.00, 106.00 degrees
Element x y z (fractional)
Hg  0.822  0.517  0.362
Hg  0.304  0.846  0.022
Hg  0.154  0.978  0.696
Hg  0.846  0.022  0.304
Hg  0.696  0.154  0.978
Hg  0.978  0.696  0.154
Hg  0.638  0.178  0.483
Hg  0.362  0.822  0.517
Hg  0.022  0.304  0.846
Hg  0.517  0.362  0.822
Hg  0.483  0.638  0.178
Hg  0.178  0.483  0.638
Cd  0.581  0.750  0.886
Cd  0.750  0.886  0.581
Cd  0.250  0.114  0.419
Cd  0.419  0.250  0.114
Cd  0.114  0.419  0.250
Cd  0.886  0.581  0.750
Cd  0.500  0.500  0.500
Pm  0.000  0.000  0.000

# 2
# DySiH

A geometry-optimized DySiH structure (GGA-PBE, Alexandria via LeMat-Bulk).

## Properties
ΔE to the lowest computed polymorph (eV/atom): 0.000
E_tot (eV per atom): -5.18
SG: Cmcm (63)

Cell lengths 6.038, 6.038, 3.884 Å; angles 90.00, 90.00, 141.25 degrees
Element x y z (fractional)
Si  0.441  0.559  0.250
Si  0.559  0.441  0.750
Dy  0.852  0.148  0.750
Dy  0.148  0.852  0.250
H  0.254  0.746  0.750
H  0.746  0.254  0.250

# 3
# Cd2FeTe

A geometry-optimized Cd2FeTe structure (GGA-PBE, Alexandria via LeMat-Bulk).

## Properties
E_tot (eV per atom): -3.00
Energy relative to the elements, uncorrected (eV per atom): 0.3594
SG: C2/m (12)

Cell lengths 6.532, 4.562, 3.331 Å; angles 92.37, 74.37, 111.09 degrees
Element x y z (fractional)
Cd  0.000  0.500  0.500
Cd  0.000  0.000  0.000
Te  0.500  0.000  0.500
Fe  0.500  0.500  0.000

# 4
# KInPb

A geometry-optimized KInPb structure (GGA-PBE, Alexandria via LeMat-Bulk).

## Properties
E_tot (eV per atom): -2.65
ΔH_f (0 K) (kJ/mol of formula units): -38.6
SG: Imma (74)

Cell lengths 6.374, 6.811, 6.592 Å; angles 58.89, 61.09, 90.00 degrees
Element x y z (fractional)
Pb  0.500  0.500  0.000
Pb  0.500  0.000  0.000
K  0.126  0.876  0.749
K  0.874  0.124  0.251
In  0.000  0.500  0.500
In  0.500  0.500  0.500

# 5
# Tm2As7Ru12

A geometry-optimized Tm2As7Ru12 structure (GGA-PBE, Alexandria via LeMat-Bulk).

## Properties
E_tot (eV per atom): -7.69
ΔH_f (0 K) (kJ/mol of formula units): -832.2
SG: P-6 (174)

Cell lengths 4.009, 9.746, 9.746 Å; angles 120.00, 90.00, 90.00 degrees
Element x y z (fractional)
Ru  0.500  0.721  0.107
Ru  0.500  0.386  0.279
Ru  0.000  0.058  0.551
Ru  0.500  0.240  0.784
Ru  0.500  0.544  0.760
Ru  0.000  0.449  0.507
Ru  0.000  0.493  0.942
Ru  0.000  0.761  0.728
Ru  0.000  0.967  0.239
Ru  0.500  0.216  0.456
Ru  0.000  0.272  0.033
Ru  0.500  0.893  0.614
Tm  0.500  0.000  0.000
Tm  0.000  0.667  0.333
As  0.000  0.753  0.968
As  0.000  0.032  0.785
As  0.000  0.215  0.247
As  0.500  0.930  0.380
As  0.500  0.450  0.070
As  0.500  0.620  0.550
As  0.000  0.333  0.667

# 6
# LiMg6Pb2

A geometry-optimized LiMg6Pb2 structure (GGA-PBE, Alexandria via LeMat-Bulk).

## Properties
ΔE to the lowest computed polymorph (eV/atom): 0.000
E_tot (eV per atom): -2.18
ΔH_f (0 K) (kJ/mol of formula units): -68.0
SG: C2/m (12)

Cell lengths 4.449, 7.339, 7.228 Å; angles 108.64, 107.92, 90.00 degrees
Element x y z (fractional)
Pb  0.941  0.183  0.882
Pb  0.059  0.817  0.118
Mg  0.277  0.172  0.554
Mg  0.170  0.500  0.340
Mg  0.390  0.833  0.780
Mg  0.723  0.828  0.446
Mg  0.830  0.500  0.660
Mg  0.610  0.167  0.220
Li  0.500  0.500  0.000

# 7
# Ta2CuW

A geometry-optimized Ta2CuW structure (GGA-PBE, Alexandria via LeMat-Bulk).

## Properties
ΔE to the lowest computed polymorph (eV/atom): 0.158
E_tot (eV per atom): -10.00
ΔH_f (0 K) (kJ/mol of formula units): 73.5
SG: Imm2 (44)

Cell lengths 5.183, 5.183, 5.183 Å; angles 141.66, 129.54, 65.10 degrees
Element x y z (fractional)
W  0.500  0.500  0.000
Cu  0.254  0.754  0.500
Ta  0.744  0.244  0.500
Ta  0.002  0.002  0.000

# 8
# Y2GePbO6

A geometry-optimized Y2GePbO6 structure (GGA-PBE, Alexandria via LeMat-Bulk).

## Properties
E_tot (eV per atom): -7.30
Energy relative to the elements, uncorrected (eV per atom): -2.2033
SG: P4mm (99)

Cell lengths 5.492, 5.376, 5.376 Å; angles 90.00, 90.00, 90.00 degrees
Element x y z (fractional)
O  0.749  0.772  0.772
O  0.749  0.772  0.228
O  0.092  0.500  0.500
O  0.749  0.228  0.772
O  0.288  0.000  0.000
O  0.749  0.228  0.228
Pb  0.520  0.500  0.500
Y  0.969  0.500  0.000
Y  0.969  0.000  0.500
Ge  0.614  0.000  0.000